A plane-wave DFT calculation with PBE was carried out for crystalline TbNdPd at its relaxed geometry.

Values from the calculation:
M_tot in μB per atom: 0.0621
Formation energy in eV/atom: -0.30
Crystal system: orthorhombic

a b c (Å): 3.5446 3.8476 13.0497
angles (deg): 90.00 90.00 90.00
With the nearest neighbours (Å) after each atom.
Space group Imm2 (No. 44)
Unique sites:
Tb 0.0000 0.0000 0.0000  4 Pd 2.88
Nd 0.0000 0.5000 0.7610  2 Pd 2.93
Pd 0.0000 0.0000 0.5915  4 Tb 2.88, 2 Nd 2.93



A plane-wave DFT calculation with PBE was carried out for crystalline Tb4NdPd2 at its relaxed geometry.

Values from the calculation:
M_tot in μB per atom: 0.0000
Formation energy in eV/atom: -0.41
Crystal system: monoclinic

a b c (Å): 7.7744 6.5097 8.2058
angles (deg): 90.00 112.09 90.00
With the nearest neighbours (Å) after each atom.
Space group P2_1/m (No. 11)
Unique sites:
Tb 0.0248 0.2500 0.3914  1 Pd 2.74
Tb 0.2436 0.7500 0.3495  2 Pd 2.78-2.94
Tb 0.4038 0.0054 0.7663  4 Pd 3.03-3.22, 2 Tb 3.18-3.33
Nd 0.1465 0.2500 0.0224  4 Pd 3.09-3.40, 1 Tb 3.40
Pd 0.2595 0.7500 0.9968  6 Tb 2.94-3.12, 1 Nd 3.10
Pd 0.3872 0.2500 0.4203  2 Tb 2.74-2.78



A plane-wave DFT calculation with PBE was carried out for crystalline TbNdPd at its relaxed geometry.

Values from the calculation:
M_tot in μB per atom: 0.0000
Formation energy in eV/atom: -0.38
Crystal system: trigonal

a b c (Å): 4.8101 4.8101 3.9854
angles (deg): 90.00 90.00 120.00
With the nearest neighbours (Å) after each atom.
Space group P3m1 (No. 156)
Unique sites:
Tb 0.0000 0.0000 0.0000  3 Pd 2.89
Nd 0.6667 0.3333 0.5384  3 Pd 3.08, 3 Tb 3.33
Pd 0.3333 0.6667 0.2023  3 Tb 2.89, 3 Nd 3.08



A plane-wave DFT calculation with PBE was carried out for crystalline Tb4NdPd4 at its relaxed geometry.

Values from the calculation:
M_tot in μB per atom: 0.0000
Formation energy in eV/atom: -0.65
Crystal system: tetragonal

a b c (Å): 9.0950 9.0950 5.8109
angles (deg): 90.00 90.00 90.00
With the nearest neighbours (Å) after each atom.
Space group P4_2/n (No. 86, origin choice 2)
Unique sites:
Tb 0.0745 0.6548 0.1641  5 Pd 2.83-2.96
Nd 0.2500 0.2500 0.2500  4 Pd 2.91
Pd 0.0381 0.6231 0.6602  5 Tb 2.83-2.96, 1 Nd 2.91, 1 Pd 2.99



A plane-wave DFT calculation with PBE was carried out for crystalline TbNdPd at its relaxed geometry.

Values from the calculation:
M_tot in μB per atom: 0.0000
Formation energy in eV/atom: -0.44
Crystal system: monoclinic

a b c (Å): 7.1998 6.0136 10.7134
angles (deg): 90.00 129.72 90.00
With the nearest neighbours (Å) after each atom.
Space group P2_1/c (No. 14)
Unique sites:
Tb 0.1795 0.1348 0.3700  3 Pd 2.83-2.99
Nd 0.3000 0.6391 0.6179  4 Pd 2.91-3.20
Pd 0.1763 0.1355 0.6384  3 Tb 2.83-2.99, 1 Pd 2.88, 3 Nd 2.91-3.16



A plane-wave DFT calculation with PBE was carried out for crystalline Tb3Nd3Pd2 at its relaxed geometry.

Values from the calculation:
M_tot in μB per atom: 0.0000
Formation energy in eV/atom: -0.36
Crystal system: orthorhombic

a b c (Å): 3.9564 12.9976 18.1184
angles (deg): 90.00 90.00 90.00
With the nearest neighbours (Å) after each atom.
Space group Cmcm (No. 63)
Unique sites:
Tb 0.0000 0.1222 0.2500  2 Pd 2.81
Tb 0.0000 0.1544 0.5415  2 Pd 2.78
Nd 0.0000 0.1467 0.7500  4 Pd 3.27, 3 Tb 3.49-3.60
Nd 0.0000 0.4498 0.6055  2 Pd 3.31, 6 Tb 3.41-3.58
Pd 0.0000 0.2521 0.1262  3 Tb 2.78-2.81



A plane-wave DFT calculation with PBE was carried out for crystalline TbNd3Pd at its relaxed geometry.

Values from the calculation:
M_tot in μB per atom: 0.0000
Formation energy in eV/atom: -0.33
Crystal system: monoclinic

a b c (Å): 12.5081 3.8176 14.1116
angles (deg): 90.00 115.31 90.00
With the nearest neighbours (Å) after each atom.
Space group Cm (No. 8)
Unique sites:
Tb 0.0000 0.0000 0.0000  3 Pd 2.90-3.10
Tb 0.1154 0.0000 0.2850  2 Pd 2.86
Nd 0.1204 0.0000 0.6274  2 Pd 2.97
Nd 0.2341 0.0000 0.9246  3 Pd 2.99-3.15
Nd 0.2667 0.5000 0.1571  2 Pd 3.21
Nd 0.2955 0.5000 0.5216  10 Nd 3.63-4.03, 2 Tb 3.67, 1 Pd 3.79
Nd 0.4393 0.0000 0.3903  9 Nd 3.61-4.03, 3 Tb 3.67, 1 Pd 3.70
Nd 0.4658 0.0000 0.7614  2 Pd 3.11
Pd 0.2822 0.5000 0.7846  6 Nd 2.97-3.11, 1 Tb 3.10
Pd 0.4629 0.0000 0.1380  4 Tb 2.86-2.90, 1 Nd 3.15



A plane-wave DFT calculation with PBE was carried out for crystalline Tb2NdPd9 at its relaxed geometry.

Values from the calculation:
M_tot in μB per atom: 0.0000
Formation energy in eV/atom: -0.83
Crystal system: tetragonal

a b c (Å): 4.1619 4.1619 12.4421
angles (deg): 90.00 90.00 90.00
With the nearest neighbours (Å) after each atom.
Space group P4/mmm (No. 123)
Unique sites:
Tb 0.0000 0.0000 0.1640  12 Pd 2.91-2.94
Nd 0.0000 0.0000 0.5000  12 Pd 2.94-2.98
Pd 0.0000 0.5000 0.0000  4 Tb 2.91, 8 Pd 2.93-2.94
Pd 0.0000 0.5000 0.3289  8 Pd 2.91-2.98, 2 Tb 2.92, 2 Nd 2.98
Pd 0.5000 0.5000 0.1652  8 Pd 2.91-2.93, 4 Tb 2.94
Pd 0.5000 0.5000 0.5000  4 Nd 2.94, 8 Pd 2.98



Question: The highest formation energy belongs to which entry?
Answer: number 1